! HoSc2Cr, optimized geometry, DFT PBE; values from VASP
&SYSTEM
  ibrav = 0, nat = 4, ntyp = 3
/
ATOMIC_SPECIES
Ho 164.93 Ho.upf
Sc 44.96 Sc.upf
Cr 52.00 Cr.upf
CELL_PARAMETERS angstrom
3.3318 0.0000 0.0000
0.0000 3.3318 0.0000
0.0000 0.0000 8.2092
ATOMIC_POSITIONS angstrom
Ho 0.0000 0.0000 0.0000
Sc 1.6659 1.6659 2.5046
Sc 1.6659 1.6659 5.7046
Cr 0.0000 0.0000 4.1046
! VASP energy = -6.531 eV/atom